Here is a geometry-optimized LaZn2Ru2 structure from the Alexandria database. Energies are from GGA-PBE.

Cell: 4.3483 4.3483 5.9373 Å, 68.52 68.52 90.00°
Fractional positions:
Ru1 0.3851 0.3851 0.2297
Ru2 0.6149 0.6149 0.7703
Zn1 0.7500 0.2500 0.5000
Zn2 0.2500 0.7500 0.5000
La1 0.0000 0.0000 0.0000

## Properties
ΔE_f in eV per atom: -0.12
E above lowest polymorph in meV/atom: 0

Here is a geometry-optimized BaAcAs structure from the Alexandria database. Energies are from GGA-PBE.

Cell: 4.0432 4.0432 7.8992 Å, 104.83 104.83 90.00°
Fractional positions:
As1 0.6815 0.6815 0.3629
Ac1 0.2803 0.2803 0.5606
Ba1 0.0383 0.0383 0.0765

## Properties
ΔE_f in eV per atom: -0.75
E above lowest polymorph in meV/atom: 70

Here is a geometry-optimized CrAgHg3 structure from the Alexandria database. Energies are from GGA-PBE.

Cell: 5.2998 5.2998 5.2998 Å, 90.00 90.00 90.00°
Site moments in Bohr magnetons follow the coordinates.
Fractional positions:
Cr1 0.0000 0.0000 0.0000  3.82
Hg1 0.0000 0.5000 0.0000  0.07
Hg2 0.0000 0.0000 0.5000  0.04
Hg3 0.5000 0.0000 0.0000  0.05
Ag1 0.5000 0.5000 0.5000  -0.01

## Properties
ΔE_f in eV per atom: 0.61
E above lowest polymorph in meV/atom: 0

Here is a geometry-optimized Sc6As3P2Se structure from the Alexandria database. Energies are from GGA-PBE.

Cell: 3.8319 7.6857 8.5655 Å, 102.86 102.93 90.00°
Fractional positions:
Sc1 0.3297 0.9076 0.6594
Sc2 0.6693 0.5783 0.3386
Sc3 0.6703 0.0924 0.3406
Sc4 0.0033 0.2591 0.0067
Sc5 0.9967 0.7409 0.9933
Sc6 0.3307 0.4217 0.6614
As1 0.5000 0.5000 0.0000
As2 0.8356 0.1667 0.6711
As3 0.1644 0.8333 0.3289
P1 0.8331 0.6669 0.6662
P2 0.1669 0.3331 0.3338
Se1 0.5000 0.0000 0.0000

## Properties
Formation energy without anion corrections in eV per atom: -1.49

Here is a geometry-optimized YHg2Cl structure from the Alexandria database. Energies are from GGA-PBE.

Cell: 5.1297 5.1297 5.1297 Å, 60.00 60.00 60.00°
Fractional positions:
Cl1 0.5000 0.5000 0.5000
Hg1 0.0000 0.0000 0.0000
Hg2 0.2500 0.2500 0.2500
Y1 0.7500 0.7500 0.7500

## Properties
E above lowest polymorph in meV/atom: 198
Formation energy without anion corrections in eV per atom: -0.51

Copy entry 4 word for word.
Here is a geometry-optimized Sc6As3P2Se structure from the Alexandria database. Energies are from GGA-PBE.

Cell: 3.8319 7.6857 8.5655 Å, 102.86 102.93 90.00°
Fractional positions:
Sc1 0.3297 0.9076 0.6594
Sc2 0.6693 0.5783 0.3386
Sc3 0.6703 0.0924 0.3406
Sc4 0.0033 0.2591 0.0067
Sc5 0.9967 0.7409 0.9933
Sc6 0.3307 0.4217 0.6614
As1 0.5000 0.5000 0.0000
As2 0.8356 0.1667 0.6711
As3 0.1644 0.8333 0.3289
P1 0.8331 0.6669 0.6662
P2 0.1669 0.3331 0.3338
Se1 0.5000 0.0000 0.0000

## Properties
Formation energy without anion corrections in eV per atom: -1.49

Question: Number 4 is which compound?
Answer: Sc6As3P2Se

Question: Which formula does entry 5 have?
Answer: YHg2Cl